The following is a PBE calculation of an optimized crystal structure of CaThGa2, from Alexandria.

Properties
**Calculated total energy**: -4.30 eV per atom
**Energy relative to the elements**: -432 meV/atom

abc: 3.526 3.526 7.967
angles: 90.00 90.00 90.00
Atoms (fractional coordinates):
Ca 0.500 0.500 0.500
Ga 0.000 0.000 0.744
Ga 0.000 0.000 0.256
Th 0.500 0.500 0.000

The following is a PBE calculation of an optimized crystal structure of Cu2RePt, from Alexandria.

Properties
**Calculated total energy**: -6.57 eV per atom
**Energy relative to the elements**: 102 meV/atom

abc: 8.751 8.751 8.751
angles: 17.98 17.98 17.98
Site moments in Bohr magnetons follow the coordinates.
Atoms (fractional coordinates):
Cu 0.997 0.997 0.997  0.01
Cu 0.253 0.253 0.253  0.00
Pt 0.502 0.502 0.502  0.05
Re 0.747 0.747 0.747  0.22

The following is a PBE calculation of an optimized crystal structure of SrMgZr2, from Alexandria.

Properties
**Calculated total energy**: -4.62 eV per atom
**Energy relative to the elements**: 472 meV/atom

abc: 6.021 6.021 6.021
angles: 135.13 135.13 65.33
Atoms (fractional coordinates):
Mg 0.250 0.750 0.500
Sr 0.750 0.250 0.500
Zr 0.000 0.000 0.000
Zr 0.500 0.500 0.000

The following is a PBE calculation of an optimized crystal structure of TeIrS2, from Alexandria.

Properties
**Calculated total energy**: -5.26 eV per atom
**Formation energy (no corrections)**: -0.77 eV/f.u.

abc: 7.982 7.982 7.982
angles: 26.23 26.23 26.23
Atoms (fractional coordinates):
S 0.883 0.883 0.883
S 0.117 0.117 0.117
Ir 0.500 0.500 0.500
Te 0.000 0.000 0.000